This record from Alexandria describes crystalline FeIr2Rh at its relaxed geometry. The functional is PBE.

Cell lengths 2.7195, 2.7195, 7.5049 Å; angles 90.00, 90.00, 90.00 degrees
Last column: nearest neighbours and their distance in Å.
Sites, in units of the cell vectors:
Ir  0.5000  0.5000  0.2486  8 Ir 2.71-2.72, 4 Rh 2.73
Fe  0.5000  0.5000  0.7503  4 Rh 2.65, 4 Ir 2.65, 4 Fe 2.72
Ir  0.0000  0.0000  0.9937  4 Fe 2.65, 8 Ir 2.71-2.72
Rh  0.0000  0.0000  0.5075  4 Fe 2.65, 4 Rh 2.72, 4 Ir 2.73

## Properties
Its formation energy is -18 meV/atom. As for the space group: P4mm (99).